La2TcCl: optimized geometry, PBE.

It has space group Fm-3m (No. 225), with a = 7.2629 Å, b = 7.2629 Å, c = 7.2629 Å, α = 90.00°, β = 90.00° and γ = 90.00°. The distinct sites, in fractional coordinates, are La at (0.2500, 0.2500, 0.2500), Tc at (0.0000, 0.0000, 0.0000) and Cl at (0.0000, 0.0000, 0.5000).

Its total energy is -94.3 eV per cell. The calculation puts the total moment at 0.00 μB/f.u. As for the energy above the most stable polymorph in this dataset: 400 meV per atom. The calculation puts the energy relative to the elements, uncorrected at -0.37 eV/atom.